Record 1
A relaxed Zn3Br crystal. Source: the Alexandria database, functional PBE-GGA.

a b c (Å): 3.5340 3.5340 22.4553
angles (deg): 90.00 90.00 120.00
Last column: nearest neighbours and their distance in Å.
Space group R-3m (No. 166, hexagonal axes)
One atom of each set of equivalent atoms:
1 Zn 0.0000 0.0000 0.0000 [3 per cell]  6 Zn 2.66
2 Zn 0.0000 0.0000 0.2574 [6 per cell]  3 Zn 2.66, 3 Br 2.88
3 Br 0.0000 0.0000 0.5000 [3 per cell]  6 Zn 2.88

Computed properties:
E_tot (hartree per atom): -0.0516
Excess energy over the best structure of this formula in the dataset (eV/atom): 0.128
Raw formation energy (meV/atom): -31

Record 2
A relaxed ZrZn2Br crystal. Source: the Alexandria database, functional PBE-GGA.

a b c (Å): 5.4069 9.1424 3.2456
angles (deg): 90.00 90.00 90.00
Last column: nearest neighbours and their distance in Å.
Space group Cmmm (No. 65)
One atom of each set of equivalent atoms:
1 Zr 0.0000 0.0000 0.0000 [2 per cell]  2 Br 2.70
2 Zn 0.2500 0.2500 0.5000 [4 per cell]  2 Zn 2.70
3 Br 0.0000 0.5000 0.0000 [2 per cell]  2 Zr 2.70

Computed properties:
E_tot (hartree per atom): -0.1201
Excess energy over the best structure of this formula in the dataset (eV/atom): 0.199
Raw formation energy (meV/atom): -77

Record 3
A relaxed ZrZn3Br crystal. Source: the Alexandria database, functional PBE-GGA.

a b c (Å): 5.4761 5.4761 5.4761
angles (deg): 90.00 90.00 90.00
Last column: nearest neighbours and their distance in Å.
Space group Pm-3m (No. 221)
One atom of each set of equivalent atoms:
1 Zr 0.0000 0.0000 0.0000 [1 per cell]  6 Zn 2.74
2 Zn 0.0000 0.0000 0.5000 [3 per cell]  2 Zr 2.74
3 Br 0.5000 0.5000 0.5000 [1 per cell]  12 Zn 3.87

Computed properties:
E_tot (hartree per atom): -0.0766
Excess energy over the best structure of this formula in the dataset (eV/atom): 0.000
Raw formation energy (meV/atom): 725

Record 4
A relaxed ZrZn2Br crystal. Source: the Alexandria database, functional PBE-GGA.

a b c (Å): 3.2863 5.1488 9.7806
angles (deg): 90.00 90.00 90.00
Last column: nearest neighbours and their distance in Å.
Space group Imm2 (No. 44)
One atom of each set of equivalent atoms:
1 Zr 0.0000 0.0000 0.0000 [2 per cell]  2 Br 2.74, 6 Zn 2.94-3.06
2 Zn 0.0000 0.0000 0.5120 [2 per cell]  2 Zn 2.86, 4 Zr 3.06
3 Zn 0.0000 0.5000 0.2508 [2 per cell]  2 Zn 2.86, 2 Zr 2.94, 4 Br 3.06
4 Br 0.0000 0.5000 0.7244 [2 per cell]  2 Zr 2.74, 4 Zn 3.06

Computed properties:
E_tot (hartree per atom): -0.1195
Excess energy over the best structure of this formula in the dataset (eV/atom): 0.215
Raw formation energy (meV/atom): -61

Record 5
A relaxed ZrZn2Br crystal. Source: the Alexandria database, functional PBE-GGA.

a b c (Å): 3.2053 3.2053 8.8322
angles (deg): 90.00 90.00 90.00
Last column: nearest neighbours and their distance in Å.
Space group P4mm (No. 99)
One atom of each set of equivalent atoms:
1 Zr 0.0000 0.0000 0.0000 [1 per cell]  4 Br 2.89, 5 Zn 2.97-3.22, 4 Zr 3.21
2 Zn 0.0000 0.0000 0.6349 [1 per cell]  4 Zn 2.62
3 Zn 0.5000 0.5000 0.7828 [1 per cell]  4 Zn 2.62
4 Br 0.5000 0.5000 0.2032 [1 per cell]  4 Zr 2.89, 4 Br 3.21

Computed properties:
E_tot (hartree per atom): -0.1274
Excess energy over the best structure of this formula in the dataset (eV/atom): 0.002
Raw formation energy (meV/atom): -274

Record 6
A relaxed ZrZn3Br crystal. Source: the Alexandria database, functional PBE-GGA.

a b c (Å): 4.9555 4.9555 4.9555
angles (deg): 90.00 90.00 90.00
Last column: nearest neighbours and their distance in Å.
Space group Pm-3m (No. 221)
One atom of each set of equivalent atoms:
1 Zr 0.0000 0.0000 0.0000 [1 per cell]  12 Zn 3.50
2 Zn 0.0000 0.5000 0.5000 [3 per cell]  2 Br 2.48
3 Br 0.5000 0.5000 0.5000 [1 per cell]  6 Zn 2.48

Computed properties:
E_tot (hartree per atom): -0.0681
Excess energy over the best structure of this formula in the dataset (eV/atom): 0.230
Raw formation energy (meV/atom): 955

Record 7
A relaxed ZrZn2Br crystal. Source: the Alexandria database, functional PBE-GGA.

a b c (Å): 11.6012 3.2711 4.5458
angles (deg): 90.00 112.96 90.00
Last column: nearest neighbours and their distance in Å.
Space group C2/m (No. 12)
One atom of each set of equivalent atoms:
1 Zr 0.0000 0.0000 0.0000 [2 per cell]  4 Br 2.80, 4 Zn 2.99
2 Zn 0.2348 0.5000 0.2345 [4 per cell]  4 Zn 2.82, 2 Zr 2.99
3 Br 0.0000 0.5000 0.5000 [2 per cell]  4 Zr 2.80

Computed properties:
E_tot (hartree per atom): -0.1186
Excess energy over the best structure of this formula in the dataset (eV/atom): 0.242
Raw formation energy (meV/atom): -34

Record 8
A relaxed ZrZn2Br crystal. Source: the Alexandria database, functional PBE-GGA.

a b c (Å): 7.9216 7.9216 5.4227
angles (deg): 90.00 90.00 90.00
Last column: nearest neighbours and their distance in Å.
Space group I-42d (No. 122)
One atom of each set of equivalent atoms:
1 Zr 0.0000 0.0000 0.0000 [4 per cell]  2 Br 2.71, 4 Zn 2.84
2 Zn 0.2432 0.2500 0.1250 [8 per cell]  2 Zn 2.71, 2 Zr 2.84, 2 Br 2.92
3 Br 0.0000 0.0000 0.5000 [4 per cell]  2 Zr 2.71, 4 Zn 2.92

Computed properties:
E_tot (hartree per atom): -0.1135
Excess energy over the best structure of this formula in the dataset (eV/atom): 0.381
Raw formation energy (meV/atom): 105

Record 9
A relaxed ZrZn2Br crystal. Source: the Alexandria database, functional PBE-GGA.

a b c (Å): 3.3561 3.3561 27.1261
angles (deg): 90.00 90.00 120.00
Last column: nearest neighbours and their distance in Å.
Space group R3m (No. 160, hexagonal axes)
One atom of each set of equivalent atoms:
1 Zr 0.0000 0.0000 0.0000 [3 per cell]  3 Br 2.75, 3 Zn 2.94
2 Zn 0.0000 0.0000 0.4794 [3 per cell]  3 Zn 2.61
3 Zn 0.0000 0.0000 0.7483 [3 per cell]  3 Zn 2.61
4 Br 0.0000 0.0000 0.2615 [3 per cell]  3 Zr 2.75

Computed properties:
E_tot (hartree per atom): -0.1274
Excess energy over the best structure of this formula in the dataset (eV/atom): 0.000
Raw formation energy (meV/atom): -276

Record 10
A relaxed ZrZn2Br crystal. Source: the Alexandria database, functional PBE-GGA.

a b c (Å): 3.5191 3.5191 6.6742
angles (deg): 90.00 90.00 90.00
Last column: nearest neighbours and their distance in Å.
Space group P4/mmm (No. 123)
One atom of each set of equivalent atoms:
1 Zr 0.0000 0.0000 0.0000 [1 per cell]  8 Zn 2.90
2 Zn 0.5000 0.5000 0.2230 [2 per cell]  4 Zr 2.90, 1 Zn 2.98, 4 Br 3.10
3 Br 0.0000 0.0000 0.5000 [1 per cell]  8 Zn 3.10, 2 Zr 3.34

Computed properties:
E_tot (hartree per atom): -0.1189
Excess energy over the best structure of this formula in the dataset (eV/atom): 0.234
Raw formation energy (meV/atom): -42

Record 11
A relaxed ZrZn2Br crystal. Source: the Alexandria database, functional PBE-GGA.

a b c (Å): 6.7422 6.7422 6.7422
angles (deg): 90.00 90.00 90.00
Last column: nearest neighbours and their distance in Å.
Space group F-43m (No. 216)
One atom of each set of equivalent atoms:
1 Zr 0.0000 0.0000 0.0000 [4 per cell]  4 Br 2.92, 4 Zn 2.92
2 Zn 0.0000 0.0000 0.5000 [4 per cell]  4 Br 2.92, 4 Zn 2.92
3 Zn 0.2500 0.2500 0.2500 [4 per cell]  4 Zr 2.92, 4 Zn 2.92
4 Br 0.2500 0.2500 0.7500 [4 per cell]  4 Zr 2.92, 4 Zn 2.92

Computed properties:
E_tot (hartree per atom): -0.1131
Excess energy over the best structure of this formula in the dataset (eV/atom): 0.390
Raw formation energy (meV/atom): 114

Record 12
A relaxed ZrZn2Br crystal. Source: the Alexandria database, functional PBE-GGA.

a b c (Å): 3.2227 4.5462 5.3593
angles (deg): 90.00 90.00 90.00
Last column: nearest neighbours and their distance in Å.
Space group Pmmm (No. 47)
One atom of each set of equivalent atoms:
1 Zr 0.0000 0.0000 0.0000 [1 per cell]  4 Br 2.79
2 Zn 0.0000 0.5000 0.5000 [1 per cell]  4 Zn 2.79
3 Zn 0.5000 0.0000 0.5000 [1 per cell]  4 Zn 2.79
4 Br 0.5000 0.5000 0.0000 [1 per cell]  4 Zr 2.79

Computed properties:
E_tot (hartree per atom): -0.1182
Excess energy over the best structure of this formula in the dataset (eV/atom): 0.252
Raw formation energy (meV/atom): -24